Record 1
CsCuSnS3 (PBE, relaxed); energy above the most stable polymorph in this dataset = 0.34 eV per formula unit; symmetry = Pnma (62)
1.0
10.8028 0.0000 0.0000
0.0000 3.8646 0.0000
0.0000 0.0000 14.6642
Cs Cu Sn S
4 4 4 12
Cartesian
2.5759 0.9662 0.1474
2.8255 2.8985 7.4795
7.9773 0.9662 7.1847
8.2269 2.8985 14.5168
2.6048 2.8985 11.6010
2.7966 0.9662 4.2689
8.0062 2.8985 10.3953
8.1980 0.9662 3.0632
0.0532 0.9662 10.8498
5.3482 2.8985 3.5177
5.4546 0.9662 11.1464
10.7496 2.8985 3.8144
0.4230 2.8985 12.5947
0.7716 0.9662 5.3778
2.4828 0.9662 10.2666
2.9186 2.8985 2.9346
4.6298 2.8985 12.7099
4.9784 0.9662 5.2627
5.8244 2.8985 9.4015
6.1730 0.9662 1.9543
7.8842 0.9662 11.7296
8.3200 2.8985 4.3975
10.0312 2.8985 9.2864
10.3798 0.9662 2.0694

---

Record 2
Rb2ZrScS4 (PBE, relaxed); symmetry = P-3m1 (164); total energy = -5.75 eV per atom; total magnetization = 0.0000 μB/atom
1.0
3.8165 0.0000 0.0000
-1.9083 3.3052 0.0000
0.0000 0.0000 15.3117
Rb Zr Sc S
2 1 1 4
Cartesian
0.0000 2.2035 3.8014
1.9083 1.1017 11.5104
0.0000 0.0000 7.6559
0.0000 0.0000 0.0000
0.0000 2.2035 9.1354
0.0000 2.2035 13.9024
1.9083 1.1017 1.4094
1.9083 1.1017 6.1763

---

Record 3
Hf4InBiC2 (PBE, relaxed); symmetry = P-6m2 (187); total energy = -8.78 eV per atom; total magnetization = 0.0000 μB/atom
1.0
3.3729 0.0000 0.0000
-1.6865 2.9210 0.0000
0.0000 0.0000 14.6442
Hf In Bi C
4 1 1 2
Cartesian
0.0000 0.0000 2.4530
0.0000 0.0000 12.1912
1.6865 0.9737 4.8514
1.6865 0.9737 9.7928
0.0000 0.0000 7.3221
1.6865 0.9737 0.0000
0.0000 1.9474 3.6483
0.0000 1.9474 10.9958

---

Record 4
TbHf3C2S2 (PBE, relaxed); symmetry = P3m1 (156); total energy = -8.95 eV per atom; total magnetization = 0.0002 μB/atom
1.0
3.4432 0.0000 0.0000
-1.7216 2.9819 0.0000
0.0000 0.0000 12.3699
Tb Hf C S
1 3 2 2
Cartesian
0.0000 0.0000 0.0000
0.0000 0.0000 3.7719
1.7216 0.9940 6.1609
1.7216 0.9940 9.7696
0.0000 1.9879 4.9745
0.0000 1.9879 10.8716
0.0000 0.0000 7.9481
1.7216 0.9940 2.0337

---

Record 5
SrPmSb (PBE, relaxed); symmetry = F-43m (216); total energy = -3.58 eV per atom; total magnetization = 0.0826 μB/atom
1.0
0.0000 3.8237 3.8237
3.8237 0.0000 3.8237
3.8237 3.8237 0.0000
Sr Pm Sb
1 1 1
Cartesian
0.0000 0.0000 0.0000
5.7355 5.7355 5.7355
3.8237 3.8237 3.8237

---

Record 6
BaZnNiTe3 (PBE, relaxed); energy above the most stable polymorph in this dataset = 0.11 eV per formula unit; symmetry = Cmcm (63); total magnetization = 0.2303 μB/atom
1.0
2.1497 -7.3621 0.0000
2.1497 7.3621 0.0000
0.0000 0.0000 10.7877
Ba Zn Ni Te
2 2 2 6
Cartesian
2.1497 3.8692 8.0908
2.1497 -3.8692 2.6969
2.1497 0.5292 2.6969
2.1497 -0.5292 8.0908
0.0000 0.0000 0.0000
0.0000 0.0000 5.3939
2.1497 6.3748 2.6969
2.1497 1.8039 0.3822
2.1497 1.8039 5.0117
2.1497 -1.8039 5.7761
2.1497 -1.8039 10.4056
2.1497 -6.3748 8.0908

---

Record 7
AcTmTe (PBE, relaxed); energy above the most stable polymorph in this dataset = 1.73 eV per formula unit; symmetry = F-43m (216); total magnetization = 0.0450 μB/atom
1.0
0.0000 3.9353 3.9353
3.9353 0.0000 3.9353
3.9353 3.9353 0.0000
Ac Tm Te
1 1 1
Cartesian
0.0000 0.0000 0.0000
1.9677 1.9677 1.9677
5.9030 5.9030 5.9030

---

Record 8
Ho3HfC2S2 (PBE, relaxed); symmetry = P3m1 (156); total energy = -7.57 eV per atom; total magnetization = 0.0006 μB/atom
1.0
3.5895 0.0000 0.0000
-1.7947 3.1086 0.0000
0.0000 0.0000 12.6698
Ho Hf C S
3 1 2 2
Cartesian
0.0000 0.0000 0.0000
0.0000 0.0000 3.7546
1.7947 1.0362 6.4304
1.7947 1.0362 10.1189
0.0000 2.0724 5.1213
0.0000 2.0724 11.2182
0.0000 0.0000 8.4081
1.7947 1.0362 1.8505

---

Record 9
NdThIr4 (PBE, relaxed); symmetry = F-43m (216); formation energy = -74.0 kJ per mole of atoms; total magnetization = 0.0006 μB/atom
1.0
0.0000 3.8539 3.8539
3.8539 0.0000 3.8539
3.8539 3.8539 0.0000
Nd Th Ir
1 1 4
Cartesian
0.0000 0.0000 0.0000
5.7809 5.7809 5.7809
2.8887 2.8887 2.8887
4.8191 4.8191 2.8887
4.8191 2.8887 4.8191
2.8887 4.8191 4.8191

---

Record 10
MgCoSbOs (PBE, relaxed); energy above the most stable polymorph in this dataset = 0.00 eV per formula unit; symmetry = F-43m (216); total magnetization = 0.0567 μB/atom
1.0
0.0000 3.1077 3.1077
3.1077 0.0000 3.1077
3.1077 3.1077 0.0000
Mg Co Sb Os
1 1 1 1
Cartesian
0.0000 0.0000 0.0000
4.6616 4.6616 4.6616
3.1077 3.1077 3.1077
1.5539 1.5539 1.5539

---

Record 11
NdLuOs (PBE, relaxed); energy above the most stable polymorph in this dataset = 0.00 eV per formula unit; symmetry = F-43m (216); formation energy = 63.2 kJ per mole of atoms; total magnetization = 0.0000 μB/atom
1.0
0.0000 3.3464 3.3464
3.3464 0.0000 3.3464
3.3464 3.3464 0.0000
Nd Lu Os
1 1 1
Cartesian
0.0000 0.0000 0.0000
1.6732 1.6732 1.6732
3.3464 3.3464 3.3464

---

Record 12
RbIrAuSe2S (PBE, relaxed); symmetry = Cmcm (63); total energy = -4.30 eV per atom; total magnetization = 0.0299 μB/atom
1.0
1.9478 -8.8203 0.0000
1.9478 8.8203 0.0000
0.0000 0.0000 9.4282
Rb Ir Au Se S
2 2 2 4 2
Cartesian
1.9478 4.7836 7.0712
1.9478 -4.7836 2.3571
1.9478 0.0000 0.0000
1.9478 0.0000 4.7141
1.9478 6.7746 2.3571
1.9478 -6.7746 7.0712
1.9478 7.1479 4.7345
1.9478 7.1479 9.4078
1.9478 -7.1479 0.0204
1.9478 -7.1479 4.6937
1.9478 0.5982 2.3571
1.9478 -0.5982 7.0712

---

Record 13
Li2MgTl2ZnPd2 (PBE, relaxed); symmetry = P-4m2 (115); total energy = -3.07 eV per atom
1.0
4.5993 0.0000 0.0000
0.0000 4.5993 0.0000
0.0000 0.0000 6.5389
Li Mg Tl Zn Pd
2 1 2 1 2
Cartesian
0.0000 2.2997 1.5339
2.2997 0.0000 5.0050
0.0000 0.0000 3.2694
0.0000 0.0000 0.0000
2.2997 2.2997 3.2694
2.2997 2.2997 0.0000
0.0000 2.2997 4.9384
2.2997 0.0000 1.6005

---

Record 14
CsPmOs (PBE, relaxed); energy above the most stable polymorph in this dataset = 0.00 eV per formula unit; symmetry = F-43m (216); total magnetization = 0.0001 μB/atom
1.0
0.0000 3.5741 3.5741
3.5741 0.0000 3.5741
3.5741 3.5741 0.0000
Cs Pm Os
1 1 1
Cartesian
0.0000 0.0000 0.0000
3.5741 3.5741 3.5741
1.7871 1.7871 1.7871

---

Record 15
CsLiAu (PBE, relaxed); energy above the most stable polymorph in this dataset = 0.00 eV per formula unit; symmetry = F-43m (216)
1.0
0.0000 3.6861 3.6861
3.6861 0.0000 3.6861
3.6861 3.6861 0.0000
Cs Li Au
1 1 1
Cartesian
0.0000 0.0000 0.0000
5.5292 5.5292 5.5292
3.6861 3.6861 3.6861

---

Record 16
Li4ZnIn2Au (PBE, relaxed); symmetry = P-4m2 (115); total energy = -2.58 eV per atom
1.0
4.5711 0.0000 0.0000
0.0000 4.5711 0.0000
0.0000 0.0000 6.4705
Li Zn In Au
4 1 2 1
Cartesian
0.0000 0.0000 0.0000
0.0000 2.2856 1.6027
2.2856 0.0000 4.8677
2.2856 2.2856 3.2352
0.0000 0.0000 3.2352
0.0000 2.2856 4.8186
2.2856 0.0000 1.6519
2.2856 2.2856 0.0000

---

Record 17
B4Os (PBE, relaxed); energy above the most stable polymorph in this dataset = 0.20 eV per formula unit; symmetry = P6_3/mmc (194); total magnetization = 0.0007 μB/atom
1.0
2.9572 0.0000 0.0000
-1.4786 2.5610 0.0000
0.0000 0.0000 10.6792
B Os
8 2
Cartesian
0.0000 1.7074 0.4206
0.0000 1.7074 4.9190
0.0000 1.7074 6.6104
0.0000 1.7074 9.4084
1.4786 0.8537 1.2708
1.4786 0.8537 4.0688
1.4786 0.8537 5.7602
1.4786 0.8537 10.2586
0.0000 1.7074 2.6698
1.4786 0.8537 8.0094

---

Record 18
LaZnIn (PBE, relaxed); symmetry = P3m1 (156); total energy = -3.47 eV per atom; total magnetization = 0.0006 μB/atom
1.0
4.7997 0.0000 0.0000
-2.3999 4.1567 0.0000
0.0000 0.0000 7.7943
La Zn In
2 2 2
Cartesian
0.0000 0.0000 0.0000
0.0000 0.0000 3.9001
0.0000 2.7711 2.3543
2.3999 1.3856 6.1979
0.0000 2.7711 5.6548
2.3999 1.3856 1.7409

---

Record 19
Sm2InCuS4 (PBE, relaxed); symmetry = Cmcm (63); total energy = -5.44 eV per atom; total magnetization = 0.0001 μB/atom
1.0
2.0037 -6.8678 0.0000
2.0037 6.8678 0.0000
0.0000 0.0000 13.9046
Sm In Cu S
4 2 2 8
Cartesian
2.0037 5.0278 7.8224
2.0037 5.0278 13.0345
2.0037 -5.0278 0.8701
2.0037 -5.0278 6.0822
2.0037 1.4846 10.4285
2.0037 -1.4846 3.4762
2.0037 2.2330 3.4762
2.0037 -2.2330 10.4285
2.0037 5.9316 10.4285
2.0037 3.6196 1.5832
2.0037 3.6196 5.3691
2.0037 0.0000 0.0000
2.0037 0.0000 6.9523
2.0037 -3.6196 8.5355
2.0037 -3.6196 12.3214
2.0037 -5.9316 3.4762

---

Record 20
PmSm (PBE, relaxed); energy above the most stable polymorph in this dataset = 1.28 eV per formula unit; symmetry = Fm-3m (225); formation energy = 63.4 kJ per mole of atoms; total magnetization = 0.4122 μB/atom
1.0
0.0000 3.2588 3.2588
3.2588 0.0000 3.2588
3.2588 3.2588 0.0000
Pm Sm
1 1
Cartesian
0.0000 0.0000 0.0000
3.2588 3.2588 3.2588

---

In order of appearance, theoretical density = 4.46; 3.74; 12.22; 10.23; 5.26; 6.27; 7.13; 8.94; 16.61; 10.93; 11.29; 6.81; 8.71; 8.51; 5.58; 6.38; 9.59; 6.82; 5.27; 7.09 Mg/m³.
In order of appearance, volume = 612.2; 193.1; 144.3; 127.0; 111.8; 341.5; 121.9; 141.4; 114.5; 60.0; 75.0; 324.0; 138.3; 91.3; 100.2; 135.2; 80.9; 155.5; 382.7; 69.2 Å³/cell.